Entry 1
Entry from the Alexandria database: a geometry-optimized MnAl3V structure (PBE).

Structure (CIF):
```
data_MnAl3V
_space_group_name_H-M_alt 'P m -3 m'
_space_group_IT_number 221
_space_group_name_Hall '-P 4 2 3'
_cell_length_a 4.465
_cell_length_b 4.465
_cell_length_c 4.465
_cell_angle_alpha 90.00
_cell_angle_beta 90.00
_cell_angle_gamma 90.00
loop_
_atom_site_label
_atom_site_type_symbol
_atom_site_fract_x
_atom_site_fract_y
_atom_site_fract_z
Mn1 Mn 0.000 0.000 0.000
Al1 Al 0.000 0.000 0.500
V1 V 0.500 0.500 0.500
```

Computed properties:
D(E_F): 4.7 states/eV/cell
Theoretical density: 3.48 g cm⁻³
Crystal system: cubic

=====

Entry 2
Entry from the Alexandria database: a geometry-optimized MnAl3V structure (PBE).

Structure (CIF):
```
data_MnAl3V
_space_group_name_H-M_alt 'C m c e'
_space_group_IT_number 64
_space_group_name_Hall '-C 2ac 2'
_cell_length_a 9.754
_cell_length_b 9.199
_cell_length_c 6.802
_cell_angle_alpha 90.00
_cell_angle_beta 90.00
_cell_angle_gamma 90.00
loop_
_atom_site_label
_atom_site_type_symbol
_atom_site_fract_x
_atom_site_fract_y
_atom_site_fract_z
Mn1 Mn 0.000 0.130 0.081
Al1 Al 0.000 0.098 0.710
Al2 Al 0.158 0.173 0.399
V1 V 0.250 0.068 0.750
```

Computed properties:
D(E_F): 27.8 states/eV/cell
Theoretical density: 4.07 g cm⁻³
Crystal system: orthorhombic

=====

Least stable structure: entry 1

=====

Entry 1
Entry from the Alexandria database: a geometry-optimized MnAlV structure (PBE).

Structure (CIF):
```
data_MnAlV
_space_group_name_H-M_alt 'F m m 2'
_space_group_IT_number 42
_space_group_name_Hall 'F 2 -2'
_cell_length_a 3.776
_cell_length_b 3.792
_cell_length_c 11.303
_cell_angle_alpha 90.00
_cell_angle_beta 90.00
_cell_angle_gamma 90.00
loop_
_atom_site_label
_atom_site_type_symbol
_atom_site_fract_x
_atom_site_fract_y
_atom_site_fract_z
Mn1 Mn 0.000 0.000 0.000
Al1 Al 0.000 0.000 0.661
V1 V 0.000 0.000 0.338
```

Computed properties:
D(E_F): 9.2 states/eV/cell
Theoretical density: 5.45 g cm⁻³
Crystal system: orthorhombic

=====

Entry 2
Entry from the Alexandria database: a geometry-optimized MnAlV structure (PBE).

Structure (CIF):
```
data_MnAlV
_space_group_name_H-M_alt 'P 4/n m m'
_space_group_IT_number 129
_cell_length_a 3.778
_cell_length_b 3.778
_cell_length_c 6.071
_cell_angle_alpha 90.00
_cell_angle_beta 90.00
_cell_angle_gamma 90.00
loop_
_space_group_symop_operation_xyz
'x,y,z'
'-x,-y,-z'
'-y+1/2,x,z'
'y+1/2,-x,-z'
'-x+1/2,-y+1/2,z'
'x+1/2,y+1/2,-z'
'y,-x+1/2,z'
'-y,x+1/2,-z'
'x+1/2,-y,-z'
'-x+1/2,y,z'
'-y,-x,-z'
'y,x,z'
'-x,y+1/2,-z'
'x,-y+1/2,z'
'y+1/2,x+1/2,-z'
'-y+1/2,-x+1/2,z'
loop_
_atom_site_label
_atom_site_type_symbol
_atom_site_fract_x
_atom_site_fract_y
_atom_site_fract_z
Mn1 Mn 0.250 0.250 0.240
Al1 Al 0.250 0.250 0.662
V1 V 0.250 0.750 0.000
```

Computed properties:
D(E_F): 4.4 states/eV/cell
Theoretical density: 5.09 g cm⁻³
Crystal system: tetragonal

=====

Entry 3
Entry from the Alexandria database: a geometry-optimized MnAlV structure (PBE).

Structure (CIF):
```
data_MnAlV
_space_group_name_H-M_alt 'P 3 m 1'
_space_group_IT_number 156
_cell_length_a 4.1154
_cell_length_b 4.1154
_cell_length_c 2.6206
_cell_angle_alpha 90.00
_cell_angle_beta 90.00
_cell_angle_gamma 120.00
loop_
_space_group_symop_operation_xyz
'x,y,z'
'-y,x-y,z'
'-x+y,-x,z'
'-y,-x,z'
'-x+y,y,z'
'x,x-y,z'
loop_
_atom_site_label
_atom_site_type_symbol
_atom_site_fract_x
_atom_site_fract_y
_atom_site_fract_z
Mn1 Mn 0.0000 0.0000 0.0000
Al1 Al 0.3333 0.6667 0.3540
V1 V 0.6667 0.3333 0.7672
```

Computed properties:
D(E_F): 2.7 states/eV/cell
Theoretical density: 5.74 g cm⁻³
Crystal system: trigonal

=====

Entry 4
Entry from the Alexandria database: a geometry-optimized MnAlV structure (PBE).

Structure (CIF):
```
data_MnAlV
_space_group_name_H-M_alt 'I 4 m m'
_space_group_IT_number 107
_space_group_name_Hall 'I 4 -2'
_cell_length_a 2.973
_cell_length_b 2.973
_cell_length_c 8.731
_cell_angle_alpha 90.00
_cell_angle_beta 90.00
_cell_angle_gamma 90.00
loop_
_atom_site_label
_atom_site_type_symbol
_atom_site_fract_x
_atom_site_fract_y
_atom_site_fract_z
Mn1 Mn 0.000 0.000 0.000
Al1 Al 0.000 0.000 0.324
V1 V 0.000 0.000 0.633
```

Computed properties:
D(E_F): 6.0 states/eV/cell
Theoretical density: 5.72 g cm⁻³
Crystal system: tetragonal

=====

Least stable structure: entry 2

=====

Entry 1
Entry from the Alexandria database: a geometry-optimized MnAlW structure (PBE).

Structure (CIF):
```
data_MnAlW
_space_group_name_H-M_alt 'P n m a'
_space_group_IT_number 62
_cell_length_a 8.613
_cell_length_b 4.022
_cell_length_c 5.489
_cell_angle_alpha 90.00
_cell_angle_beta 90.00
_cell_angle_gamma 90.00
loop_
_space_group_symop_operation_xyz
'x,y,z'
'-x,-y,-z'
'-x+1/2,-y,z+1/2'
'x+1/2,y,-z+1/2'
'x+1/2,-y+1/2,-z+1/2'
'-x+1/2,y+1/2,z+1/2'
'-x,y+1/2,-z'
'x,-y+1/2,z'
loop_
_atom_site_label
_atom_site_type_symbol
_atom_site_fract_x
_atom_site_fract_y
_atom_site_fract_z
Mn1 Mn 0.097 0.250 0.231
Al1 Al 0.157 0.750 0.973
W1 W 0.126 0.750 0.475
```

Computed properties:
D(E_F): 6.0 states/eV/cell
Theoretical density: 9.28 g cm⁻³
Crystal system: orthorhombic

=====

Entry 2
Entry from the Alexandria database: a geometry-optimized MnAlW structure (PBE).

Structure (CIF):
```
data_MnAlW
_space_group_name_H-M_alt 'P 3 m 1'
_space_group_IT_number 156
_cell_length_a 4.2223
_cell_length_b 4.2223
_cell_length_c 2.7120
_cell_angle_alpha 90.00
_cell_angle_beta 90.00
_cell_angle_gamma 120.00
loop_
_space_group_symop_operation_xyz
'x,y,z'
'-y,x-y,z'
'-x+y,-x,z'
'-y,-x,z'
'-x+y,y,z'
'x,x-y,z'
loop_
_atom_site_label
_atom_site_type_symbol
_atom_site_fract_x
_atom_site_fract_y
_atom_site_fract_z
Mn1 Mn 0.0000 0.0000 0.0000
Al1 Al 0.3333 0.6667 0.7008
W1 W 0.6667 0.3333 0.2588
```

Computed properties:
D(E_F): 1.3 states/eV/cell
Theoretical density: 10.54 g cm⁻³
Crystal system: trigonal

=====

Entry 3
Entry from the Alexandria database: a geometry-optimized MnAlW structure (PBE).

Structure (CIF):
```
data_MnAlW
_space_group_name_H-M_alt 'I 4 m m'
_space_group_IT_number 107
_space_group_name_Hall 'I 4 -2'
_cell_length_a 2.988
_cell_length_b 2.988
_cell_length_c 9.214
_cell_angle_alpha 90.00
_cell_angle_beta 90.00
_cell_angle_gamma 90.00
loop_
_atom_site_label
_atom_site_type_symbol
_atom_site_fract_x
_atom_site_fract_y
_atom_site_fract_z
Mn1 Mn 0.000 0.000 0.000
Al1 Al 0.000 0.000 0.662
W1 W 0.000 0.000 0.353
```

Computed properties:
D(E_F): 2.3 states/eV/cell
Theoretical density: 10.73 g cm⁻³
Crystal system: tetragonal

=====

Entry 4
Entry from the Alexandria database: a geometry-optimized MnAlW structure (PBE).

Structure (CIF):
```
data_MnAlW
_space_group_name_H-M_alt 'F m m 2'
_space_group_IT_number 42
_space_group_name_Hall 'F 2 -2'
_cell_length_a 3.430
_cell_length_b 4.197
_cell_length_c 11.875
_cell_angle_alpha 90.00
_cell_angle_beta 90.00
_cell_angle_gamma 90.00
loop_
_atom_site_label
_atom_site_type_symbol
_atom_site_fract_x
_atom_site_fract_y
_atom_site_fract_z
Mn1 Mn 0.000 0.000 0.000
Al1 Al 0.000 0.000 0.654
W1 W 0.000 0.000 0.333
```

Computed properties:
D(E_F): 6.4 states/eV/cell
Theoretical density: 10.33 g cm⁻³
Crystal system: orthorhombic

=====

Least stable structure: entry 1